! Eu2ZnSn (PBE-GGA, relaxed); values from VASP
! E above lowest polymorph in meV per atom: 0.0
! Energy in eV per atom: -6.98
! Magnetic moment in μB/cell: 14.16
&SYSTEM
  ibrav = 0, nat = 4, ntyp = 3
/
ATOMIC_SPECIES
Eu 151.96 Eu.upf
Sn 118.71 Sn.upf
Zn 65.41 Zn.upf
ATOMIC_POSITIONS crystal
Eu 0.750 0.750 0.750
Eu 0.250 0.250 0.250
Sn 0.500 0.500 0.500
Zn 0.000 0.000 0.000
CELL_PARAMETERS angstrom
5.468 0.000 0.000
2.734 4.735 0.000
2.734 1.578 4.465